Material: BaCrSiO6
Method: DFT, PBE with a Hubbard U
State: optimized geometry

abc: 4.908 4.908 5.783
angles: 90.00 90.00 60.00
Element x y z (fractional)
O 0.596 0.007 0.321
Cr 0.667 0.667 0.500
O 0.397 0.007 0.679
O 0.396 0.596 0.321
Si 0.333 0.333 0.500
O 0.007 0.596 0.679
O 0.596 0.397 0.679
O 0.007 0.396 0.321
Ba 0.000 0.000 0.000

Calculated values
Total moment (μB/f.u.): 0.000
SG: P312, No. 149
Raw total energy (eV/atom): -6.958